1.
{
  "formula": "Ta2SnSe",
  "functional": "GGA-PBE",
  "state": "relaxed",
  "lattice": [[-1.1119, -2.9599, 3.5047], [-1.1118, 1.6993, 4.2610], [-4.4499, -0.2522, 1.5538]],
  "species": ["Ta", "Ta", "Sn", "Se"],
  "fractional_positions": [[0.2500, 0.2500, 0.2500], [0.7500, 0.7500, 0.7500], [0.5000, 0.5000, 0.5000], [0.0000, 0.0000, 0.0000]],
  "n_ef_per_ev_fu": 0.95,
  "formation_energy_uncorrected_mev_per_atom": 134,
  "dft_energy_ev_per_atom": -7.6639
}

2.
{
  "formula": "BaZrPt3",
  "functional": "GGA-PBE",
  "state": "relaxed",
  "lattice": [[-4.3754, -0.9338, -2.5155], [2.6790, -1.7908, -3.9950], [-0.1508, -4.7185, 2.0140]],
  "species": ["Pt", "Pt", "Pt", "Ba", "Zr"],
  "fractional_positions": [[0.5000, 0.0000, 0.0000], [0.0000, 0.5000, 0.0000], [0.0000, 0.0000, 0.5000], [0.5000, 0.5000, 0.5000], [0.0000, 0.0000, 0.0000]],
  "n_ef_per_ev_fu": 2.00,
  "ef_ev_per_atom": -0.3175,
  "dft_energy_ev_per_atom": -6.0362
}

3.
{
  "formula": "YSi2P",
  "functional": "GGA-PBE",
  "state": "relaxed",
  "lattice": [[5.8684, -0.0402, 0.0274], [-3.2844, 4.8633, 0.0274], [1.3007, 2.4279, 2.7739]],
  "species": ["Si", "Si", "Y", "P"],
  "fractional_positions": [[0.5000, 0.5000, 0.0000], [0.0000, 0.0000, 0.0000], [0.5000, 0.0000, 0.5000], [0.0000, 0.5000, 0.5000]],
  "n_ef_per_ev_fu": 1.87,
  "formation_energy_uncorrected_mev_per_atom": -271,
  "dft_energy_ev_per_atom": -5.9508
}

4.
{
  "formula": "BaAgHg4",
  "functional": "GGA-PBE",
  "state": "relaxed",
  "lattice": [[5.0123, 0.0000, -1.3002], [0.0000, 7.4113, 0.0000], [-0.2942, 0.0000, 9.1774]],
  "species": ["Hg", "Hg", "Hg", "Hg", "Hg", "Hg", "Hg", "Hg", "Ba", "Ba", "Ag", "Ag"],
  "fractional_positions": [[0.5000, 0.5000, 0.0000], [0.3245, 0.4477, 0.6489], [0.6755, 0.5523, 0.3511], [0.5000, 0.0000, 0.0000], [0.9405, 0.2500, 0.8810], [0.3245, 0.0523, 0.6489], [0.0595, 0.7500, 0.1190], [0.6755, 0.9477, 0.3511], [0.8677, 0.7500, 0.7354], [0.1323, 0.2500, 0.2646], [0.2214, 0.7500, 0.4428], [0.7786, 0.2500, 0.5572]],
  "n_ef_per_ev_fu": 3.36,
  "ef_ev_per_atom": -0.2654,
  "dft_energy_ev_per_atom": -1.2623
}

5.
{
  "formula": "CeMgBeGa",
  "functional": "GGA-PBE",
  "state": "relaxed",
  "lattice": [[-2.8290, -3.4504, -1.7479], [1.5197, -4.5443, -0.0579], [-1.9599, -3.2197, 2.9590]],
  "species": ["Mg", "Ga", "Ce", "Be"],
  "fractional_positions": [[0.5000, 0.5000, 0.5000], [0.2500, 0.2500, 0.2500], [0.0000, 0.0000, 0.0000], [0.7500, 0.7500, 0.7500]],
  "n_ef_per_ev_fu": 5.00,
  "ef_ev_per_atom": -0.1209,
  "dft_energy_ev_per_atom": -3.6912
}

6.
{
  "formula": "Er3N",
  "functional": "GGA-PBE",
  "state": "relaxed",
  "lattice": [[3.5105, 0.0000, 0.0000], [0.0000, 3.5104, 0.0000], [0.0000, 0.0000, 8.8574]],
  "species": ["Er", "Er", "Er", "N"],
  "fractional_positions": [[0.5000, 0.5000, 0.7917], [0.5000, 0.0000, 0.4408], [0.0000, 0.5000, 0.1424], [0.0000, 0.0000, 0.2916]],
  "n_ef_per_ev_fu": 3.15,
  "formation_energy_uncorrected_mev_per_atom": -515,
  "dft_energy_ev_per_atom": -6.0185
}

7.
{
  "formula": "PrMnN",
  "functional": "GGA-PBE",
  "state": "relaxed",
  "lattice": [[-0.7955, -2.9658, 0.0867], [4.8481, -1.3405, -1.3761], [2.0257, 1.2214, 5.9471]],
  "species": ["N", "N", "Pr", "Pr", "Mn", "Mn"],
  "fractional_positions": [[0.4148, 0.2500, 0.8297], [0.5852, 0.7500, 0.1703], [0.9221, 0.7500, 0.8442], [0.0779, 0.2500, 0.1558], [0.1791, 0.7500, 0.3582], [0.8209, 0.2500, 0.6418]],
  "n_ef_per_ev_fu": 1.95,
  "formation_energy_uncorrected_mev_per_atom": -106,
  "dft_energy_ev_per_atom": -7.5305
}

8.
{
  "formula": "BeTlMo",
  "functional": "GGA-PBE",
  "state": "relaxed",
  "lattice": [[4.4027, 0.0000, 0.0000], [-2.2014, 3.8129, 0.0000], [0.0000, 0.0000, 2.8793]],
  "species": ["Mo", "Be", "Tl"],
  "fractional_positions": [[0.6667, 0.3333, 0.3332], [0.0000, 0.0000, 0.8336], [0.3333, 0.6667, 0.8332]],
  "n_ef_per_ev_fu": 2.81,
  "ef_ev_per_atom": 0.7526,
  "dft_energy_ev_per_atom": -4.8886
}

9.
{
  "formula": "NaZnGaAu3",
  "functional": "GGA-PBE",
  "state": "relaxed",
  "lattice": [[-4.8338, -1.7270, -2.6695], [3.7623, -4.7930, -3.7118], [-2.8219, -1.7267, 6.2267]],
  "species": ["Au", "Au", "Au", "Au", "Au", "Au", "Ga", "Ga", "Na", "Na", "Zn", "Zn"],
  "fractional_positions": [[0.5000, 0.2889, 0.0000], [0.7500, 0.8398, 0.6796], [0.0000, 0.2889, 0.0000], [0.2500, 0.1602, 0.3204], [0.5000, 0.7111, 0.0000], [0.0000, 0.7111, 0.0000], [0.2500, 0.3661, 0.7322], [0.7500, 0.6339, 0.2678], [0.2500, 0.6990, 0.3980], [0.7500, 0.3010, 0.6020], [0.2500, 0.9363, 0.8726], [0.7500, 0.0637, 0.1274]],
  "n_ef_per_ev_fu": 1.38,
  "ef_ev_per_atom": -0.1825,
  "dft_energy_ev_per_atom": -2.7578
}

10.
{
  "formula": "CaIrPb2",
  "functional": "GGA-PBE",
  "state": "relaxed",
  "lattice": [[-4.9332, 1.2290, 6.9988], [6.4520, -2.7953, 5.0387], [1.7783, 1.9867, 6.2506]],
  "species": ["Ir", "Ir", "Pb", "Pb", "Pb", "Pb", "Ca", "Ca"],
  "fractional_positions": [[0.0000, 0.0000, 0.0000], [0.7500, 0.2500, 0.5000], [0.6995, 0.1250, 0.2500], [0.0505, 0.6250, 0.2500], [0.8750, 0.9495, 0.7500], [0.3750, 0.3005, 0.7500], [0.2500, 0.7500, 0.5000], [0.5000, 0.5000, 0.0000]],
  "n_ef_per_ev_fu": 1.75,
  "ef_ev_per_atom": -0.0797,
  "dft_energy_ev_per_atom": -4.6495
}

11.
{
  "formula": "LiB2C2",
  "functional": "GGA-PBE",
  "state": "relaxed",
  "lattice": [[-0.2082, -2.7142, 0.0402], [5.6967, -0.3771, 4.0429], [-5.4679, 0.5311, 7.5363]],
  "species": ["Li", "Li", "Li", "Li", "C", "C", "C", "C", "C", "C", "C", "C", "B", "B", "B", "B", "B", "B", "B", "B"],
  "fractional_positions": [[0.0000, 0.4941, 0.0265], [0.5000, 0.0000, 0.7500], [0.5000, 0.5000, 0.7500], [0.0000, 0.5059, 0.4735], [0.5000, 0.2537, 0.9162], [0.5000, 0.7463, 0.5838], [0.5000, 0.2378, 0.4128], [0.0000, 0.2552, 0.6647], [0.5000, 0.7622, 0.0872], [0.0000, 0.7899, 0.3368], [0.0000, 0.7448, 0.8353], [0.0000, 0.2101, 0.1632], [0.5000, 0.7854, 0.4173], [0.5000, 0.2476, 0.5807], [0.5000, 0.7524, 0.9193], [0.0000, 0.7436, 0.6641], [0.0000, 0.2212, 0.3304], [0.5000, 0.2146, 0.0827], [0.0000, 0.2564, 0.8359], [0.0000, 0.7788, 0.1696]],
  "n_ef_per_ev_fu": 1.20,
  "ef_ev_per_atom": -0.0136,
  "dft_energy_ev_per_atom": -6.7569
}

12.
{
  "formula": "NbAl2Ir2",
  "functional": "GGA-PBE",
  "state": "relaxed",
  "lattice": [[-0.0923, 3.3020, 6.5526], [-4.5814, -5.1447, 2.5280], [2.2396, -1.5861, 0.8308]],
  "species": ["Al", "Al", "Al", "Al", "Nb", "Nb", "Ir", "Ir", "Ir", "Ir"],
  "fractional_positions": [[0.3436, 0.1564, 0.5000], [0.8436, 0.3436, 0.5000], [0.6564, 0.8436, 0.5000], [0.1564, 0.6564, 0.5000], [0.5000, 0.5000, 0.0000], [0.0000, 0.0000, 0.0000], [0.8598, 0.6402, 0.0000], [0.6402, 0.1402, 0.0000], [0.3598, 0.8598, 0.0000], [0.1402, 0.3598, 0.0000]],
  "n_ef_per_ev_fu": 4.40,
  "ef_ev_per_atom": -0.5493,
  "dft_energy_ev_per_atom": -7.6046
}

13.
{
  "formula": "UGaNi2",
  "functional": "GGA-PBE",
  "state": "relaxed",
  "lattice": [[2.9569, 0.0000, 0.0000], [0.0000, 2.9569, 0.0000], [0.0000, 0.0000, 6.6417]],
  "species": ["Ni", "Ni", "Ga", "U"],
  "fractional_positions": [[0.0000, 0.0000, 0.7820], [0.0000, 0.0000, 0.2180], [0.5000, 0.5000, 0.0000], [0.5000, 0.5000, 0.5000]],
  "n_ef_per_ev_fu": 3.07,
  "ef_ev_per_atom": -0.2389,
  "dft_energy_ev_per_atom": -6.7083
}